K2CoCu: PBEsol geometry, SCAN.

Computed properties:
Crystal system: monoclinic
E above lowest polymorph, eV/atom: 0.000
E_form, eV per formula unit: 2.0
Electronic total energy, eV per atom: -11.786
Calculated volume, Å³ per atom: 31.8
Magnetization, μB per formula unit: 1.80

Unit cell a=6.9631 b=4.0390 c=9.5405 alpha=90.00 beta=108.29 gamma=90.00
Closest atoms and distances in Å follow each position.
Space group Cm (No. 8)
Symmetry-distinct sites (fractional):
K (0.0000, 0.0000, 0.0000)  3 Co 3.30-3.31, 3 Cu 3.30-3.31
K (0.2221, 0.0000, 0.5185)  3 Cu 3.30-3.31, 3 Co 3.30-3.31
Co (0.4440, 0.0000, 0.2592)  3 Cu 2.33
Cu (0.2780, 0.5000, 0.2593)  3 Co 2.33